Computed, not measured: crystalline Ba2LaCd at its relaxed geometry at the PBE level of DFT.

For the formation energy, the calculation gives 0.06 eV per atom.

Structure (extended XYZ):
```
4
Lattice="4.621 0.000 0.000 0.000 5.853 0.000 0.000 0.000 6.045" Properties=species:S:1:pos:R:3 pbc="T T T"
Ba 0.000 0.000 0.000
Ba 2.310 2.927 0.000
La 0.000 2.927 3.022
Cd 2.310 0.000 3.022
```